No. 1
VASP calculation (PBE) on an optimized crystal structure of NaIrS2O8.

Summary:
- Fermi-level density of states (states/eV per cell) = 0.0
- formation energy from raw total energies (eV/atom) = -1.204
- VASP energy (eV per atom) = -6.045
- space-group type = P-3

a = 4.7460 Å, b = 4.7460 Å, c = 7.9227 Å
α = 90.00°, β = 90.00°, γ = 120.00°
Last column: nearest neighbours and their distance in Å.
Element x y z (fractional)
Na 0.0000 0.0000 0.0000  12 O 2.83-3.09
Ir 0.0000 0.0000 0.5000  6 O 2.06
S 0.3333 0.6667 0.7263  4 O 1.46-1.51
S 0.6667 0.3333 0.2737  4 O 1.46-1.51
O 0.0445 0.3551 0.6649  1 S 1.51
O 0.3106 0.9555 0.6649  1 S 1.51
O 0.3333 0.6667 0.9105  1 S 1.46
O 0.3551 0.3106 0.3351  1 S 1.51
O 0.6449 0.6894 0.6649  1 S 1.51
O 0.6667 0.3333 0.0895  1 S 1.46
O 0.6894 0.0445 0.3351  1 S 1.51
O 0.9555 0.6449 0.3351  1 S 1.51

---

No. 2
VASP calculation (PBE) on an optimized crystal structure of YMgRe2.

Summary:
- Fermi-level density of states (states/eV per cell) = 6.7
- energy relative to the elements (eV/atom) = 0.4602
- VASP energy (eV per atom) = -7.779
- space-group type = C2/m

a = 5.6565 Å, b = 9.5473 Å, c = 2.7999 Å
α = 90.00°, β = 108.69°, γ = 90.00°
Last column: nearest neighbours and their distance in Å.
Element x y z (fractional)
Y 0.0000 0.0000 0.0000  2 Y 2.80, 2 Mg 2.83, 4 Re 2.90
Y 0.5000 0.5000 0.0000  2 Y 2.80, 2 Mg 2.83, 4 Re 2.90
Mg 0.0000 0.5000 0.0000  2 Mg 2.80, 2 Y 2.83, 4 Re 2.90
Mg 0.5000 0.0000 0.0000  2 Mg 2.80, 2 Y 2.83, 4 Re 2.90
Re 0.2500 0.2500 0.5000  4 Re 2.80-2.83, 2 Mg 2.90, 2 Y 2.90
Re 0.2500 0.7500 0.5000  4 Re 2.80-2.83, 2 Mg 2.90, 2 Y 2.90
Re 0.7500 0.2500 0.5000  4 Re 2.80-2.83, 2 Mg 2.90, 2 Y 2.90
Re 0.7500 0.7500 0.5000  4 Re 2.80-2.83, 2 Mg 2.90, 2 Y 2.90

---

No. 3
VASP calculation (PBE) on an optimized crystal structure of Zr2SbN2.

Summary:
- Fermi-level density of states (states/eV per cell) = 1.6
- formation energy from raw total energies (eV/atom) = -1.111
- VASP energy (eV per atom) = -8.685
- space-group type = I4/mmm

a = 3.7668 Å, b = 3.7668 Å, c = 12.8569 Å
α = 90.00°, β = 90.00°, γ = 90.00°
Last column: nearest neighbours and their distance in Å.
Element x y z (fractional)
Zr 0.0000 0.0000 0.1722  4 N 2.13
Zr 0.0000 0.0000 0.8278  4 N 2.13
Zr 0.5000 0.5000 0.3278  4 N 2.13
Zr 0.5000 0.5000 0.6722  4 N 2.13
Sb 0.0000 0.0000 0.5000  8 Zr 3.46, 8 N 3.73, 4 Sb 3.77
Sb 0.5000 0.5000 0.0000  8 Zr 3.46, 8 N 3.73, 4 Sb 3.77
N 0.0000 0.5000 0.2500  4 Zr 2.13
N 0.0000 0.5000 0.7500  4 Zr 2.13
N 0.5000 0.0000 0.2500  4 Zr 2.13
N 0.5000 0.0000 0.7500  4 Zr 2.13

---

No. 4
VASP calculation (PBE) on an optimized crystal structure of CaU2Tl3Te6.

Summary:
- Fermi-level density of states (states/eV per cell) = 16.2
- formation energy from raw total energies (eV/atom) = -0.711
- VASP energy (eV per atom) = -4.921
- space-group type = C2/m

a = 7.7752 Å, b = 7.7752 Å, c = 8.6030 Å
α = 98.64°, β = 98.64°, γ = 119.97°
Last column: nearest neighbours and their distance in Å.
Element x y z (fractional)
Ca 0.0000 0.0000 0.0000  6 Te 3.19-3.21
U 0.3326 0.6674 0.0000  6 Te 3.10-3.11
U 0.6674 0.3326 0.0000  6 Te 3.10-3.11
Tl 0.1634 0.8366 0.5000  6 Te 3.45-3.52
Tl 0.5000 0.5000 0.5000  6 Te 3.45-3.51
Tl 0.8366 0.1634 0.5000  6 Te 3.45-3.52
Te 0.0724 0.4160 0.2164  2 U 3.10-3.11, 1 Ca 3.21, 1 Tl 3.45
Te 0.2728 0.2728 0.7876  2 U 3.10, 1 Ca 3.19, 1 Tl 3.45
Te 0.4160 0.0724 0.2164  2 U 3.10-3.11, 1 Ca 3.21, 1 Tl 3.45
Te 0.5840 0.9276 0.7836  2 U 3.10-3.11, 1 Ca 3.21, 1 Tl 3.45
Te 0.7272 0.7272 0.2124  2 U 3.10, 1 Ca 3.19, 1 Tl 3.45
Te 0.9276 0.5840 0.7836  2 U 3.10-3.11, 1 Ca 3.21, 1 Tl 3.45

---

No. 5
VASP calculation (PBE) on an optimized crystal structure of HgPt2Rh.

Summary:
- Fermi-level density of states (states/eV per cell) = 10.7
- energy relative to the elements (eV/atom) = 0.0857
- VASP energy (eV per atom) = -4.848
- space-group type = Cm

a = 9.3633 Å, b = 2.8634 Å, c = 4.9864 Å
α = 90.00°, β = 99.69°, γ = 90.00°
Last column: nearest neighbours and their distance in Å.
Element x y z (fractional)
Hg 0.0000 0.0000 0.0000  7 Pt 2.83-2.90, 3 Rh 2.86-2.88, 2 Hg 2.86
Hg 0.5000 0.5000 0.0000  7 Pt 2.83-2.90, 3 Rh 2.86-2.88, 2 Hg 2.86
Pt 0.2457 0.0000 0.7381  4 Rh 2.77-2.99, 5 Pt 2.82-2.86, 3 Hg 2.83-2.89
Pt 0.4965 0.0000 0.4939  3 Rh 2.78-2.82, 5 Pt 2.82-2.86, 4 Hg 2.85-2.90
Pt 0.7457 0.5000 0.7381  4 Rh 2.77-2.99, 5 Pt 2.82-2.86, 3 Hg 2.83-2.89
Pt 0.9965 0.5000 0.4939  3 Rh 2.78-2.82, 5 Pt 2.82-2.86, 4 Hg 2.85-2.90
Rh 0.2518 0.5000 0.2655  7 Pt 2.77-2.99, 3 Hg 2.86-2.88, 2 Rh 2.86
Rh 0.7518 0.0000 0.2655  7 Pt 2.77-2.99, 3 Hg 2.86-2.88, 2 Rh 2.86

---

No. 6
VASP calculation (PBE) on an optimized crystal structure of CaSc3Ni.

Summary:
- Fermi-level density of states (states/eV per cell) = 3.1
- energy relative to the elements (eV/atom) = 1.4926
- VASP energy (eV per atom) = -3.863
- space-group type = Pm-3m
- ΔE to the lowest computed polymorph (meV/atom) = 1543.5

a = 4.9416 Å, b = 4.9416 Å, c = 4.9416 Å
α = 90.00°, β = 90.00°, γ = 90.00°
Last column: nearest neighbours and their distance in Å.
Element x y z (fractional)
Ca 0.0000 0.0000 0.0000  6 Sc 2.47
Sc 0.0000 0.0000 0.5000  2 Ca 2.47
Sc 0.0000 0.5000 0.0000  2 Ca 2.47
Sc 0.5000 0.0000 0.0000  2 Ca 2.47
Ni 0.5000 0.5000 0.5000  12 Sc 3.49

---

No. 7
VASP calculation (PBE) on an optimized crystal structure of ErCdGa2.

Summary:
- Fermi-level density of states (states/eV per cell) = 4.0
- energy relative to the elements (eV/atom) = -0.3088
- VASP energy (eV per atom) = -3.192
- space-group type = R-3m
- ΔE to the lowest computed polymorph (meV/atom) = 104.5

a = 4.4626 Å, b = 4.4626 Å, c = 14.9277 Å
α = 90.00°, β = 90.00°, γ = 120.00°
Last column: nearest neighbours and their distance in Å.
Element x y z (fractional)
Er 0.0000 0.0000 0.0000  6 Ga 2.99
Er 0.3333 0.6667 0.6667  6 Ga 2.99
Er 0.6667 0.3333 0.3333  6 Ga 2.99
Cd 0.0000 0.0000 0.5000  6 Ga 2.75
Cd 0.3333 0.6667 0.1667  6 Ga 2.75
Cd 0.6667 0.3333 0.8333  6 Ga 2.75
Ga 0.0000 0.0000 0.2314  3 Cd 2.75, 3 Er 2.99
Ga 0.0000 0.0000 0.7686  3 Cd 2.75, 3 Er 2.99
Ga 0.3333 0.6667 0.4353  3 Cd 2.75, 3 Er 2.99
Ga 0.3333 0.6667 0.8981  3 Cd 2.75, 3 Er 2.99
Ga 0.6667 0.3333 0.1019  3 Cd 2.75, 3 Er 2.99
Ga 0.6667 0.3333 0.5647  3 Cd 2.75, 3 Er 2.99

---

No. 8
VASP calculation (PBE) on an optimized crystal structure of LaTbZnOs.

Summary:
- Fermi-level density of states (states/eV per cell) = 18.2
- energy relative to the elements (eV/atom) = -0.1652
- VASP energy (eV per atom) = -5.681
- space-group type = F-43m

a = 7.1376 Å, b = 7.1376 Å, c = 7.1376 Å
α = 90.00°, β = 90.00°, γ = 90.00°
Last column: nearest neighbours and their distance in Å.
Element x y z (fractional)
La 0.0000 0.0000 0.0000  4 Zn 3.09, 4 Os 3.09
La 0.0000 0.5000 0.5000  4 Zn 3.09, 4 Os 3.09
La 0.5000 0.0000 0.5000  4 Zn 3.09, 4 Os 3.09
La 0.5000 0.5000 0.0000  4 Zn 3.09, 4 Os 3.09
Tb 0.0000 0.0000 0.5000  4 Os 3.09, 4 Zn 3.09
Tb 0.0000 0.5000 0.0000  4 Os 3.09, 4 Zn 3.09
Tb 0.5000 0.0000 0.0000  4 Os 3.09, 4 Zn 3.09
Tb 0.5000 0.5000 0.5000  4 Os 3.09, 4 Zn 3.09
Zn 0.2500 0.2500 0.7500  4 Tb 3.09, 4 La 3.09
Zn 0.2500 0.7500 0.2500  4 Tb 3.09, 4 La 3.09
Zn 0.7500 0.2500 0.2500  4 Tb 3.09, 4 La 3.09
Zn 0.7500 0.7500 0.7500  4 Tb 3.09, 4 La 3.09
Os 0.2500 0.2500 0.2500  4 Tb 3.09, 4 La 3.09
Os 0.2500 0.7500 0.7500  4 Tb 3.09, 4 La 3.09
Os 0.7500 0.2500 0.7500  4 Tb 3.09, 4 La 3.09
Os 0.7500 0.7500 0.2500  4 Tb 3.09, 4 La 3.09

---

No. 9
VASP calculation (PBE) on an optimized crystal structure of ScTe2As.

Summary:
- Fermi-level density of states (states/eV per cell) = 12.7
- formation energy from raw total energies (eV/atom) = -0.167
- VASP energy (eV per atom) = -4.484
- space-group type = I-42d

a = 5.7209 Å, b = 5.7209 Å, c = 16.3560 Å
α = 90.00°, β = 90.00°, γ = 90.00°
Last column: nearest neighbours and their distance in Å.
Element x y z (fractional)
Sc 0.0000 0.0000 0.0000  4 Te 2.88
Sc 0.0000 0.5000 0.2500  4 Te 2.88
Sc 0.5000 0.0000 0.7500  4 Te 2.88
Sc 0.5000 0.5000 0.5000  4 Te 2.88
Te 0.2501 0.2500 0.1250  2 As 2.88, 2 Sc 2.88
Te 0.2499 0.2500 0.6250  2 As 2.88, 2 Sc 2.88
Te 0.2500 0.7501 0.3750  2 As 2.88, 2 Sc 2.88
Te 0.2500 0.7499 0.8750  2 As 2.88, 2 Sc 2.88
Te 0.7500 0.2499 0.3750  2 As 2.88, 2 Sc 2.88
Te 0.7500 0.2501 0.8750  2 As 2.88, 2 Sc 2.88
Te 0.7499 0.7500 0.1250  2 As 2.88, 2 Sc 2.88
Te 0.7501 0.7500 0.6250  2 As 2.88, 2 Sc 2.88
As 0.0000 0.0000 0.5000  4 Te 2.88
As 0.0000 0.5000 0.7500  4 Te 2.88
As 0.5000 0.0000 0.2500  4 Te 2.88
As 0.5000 0.5000 0.0000  4 Te 2.88

---

No. 10
VASP calculation (PBE) on an optimized crystal structure of Sr2MgZn4Ge3.

Summary:
- Fermi-level density of states (states/eV per cell) = 2.0
- energy relative to the elements (eV/atom) = -0.3580
- VASP energy (eV per atom) = -2.749
- space-group type = P-4m2

a = 4.3406 Å, b = 4.3406 Å, c = 11.2574 Å
α = 90.00°, β = 90.00°, γ = 90.00°
Last column: nearest neighbours and their distance in Å.
Element x y z (fractional)
Sr 0.0000 0.5000 0.2370  6 Ge 3.29-3.67, 8 Zn 3.36-3.44, 2 Mg 3.67
Sr 0.5000 0.0000 0.7630  6 Ge 3.29-3.67, 8 Zn 3.36-3.44, 2 Mg 3.67
Mg 0.0000 0.0000 0.5000  4 Zn 2.70
Zn 0.0000 0.0000 0.0000  4 Ge 2.63
Zn 0.0000 0.5000 0.6425  3 Ge 2.54-2.70, 2 Mg 2.70
Zn 0.5000 0.0000 0.3575  3 Ge 2.54-2.70, 2 Mg 2.70
Zn 0.5000 0.5000 0.0000  4 Ge 2.63
Ge 0.0000 0.5000 0.8684  5 Zn 2.54-2.63
Ge 0.5000 0.0000 0.1316  5 Zn 2.54-2.63
Ge 0.5000 0.5000 0.5000  4 Zn 2.70

---

No. 11
VASP calculation (PBE) on an optimized crystal structure of DyPuSeS.

Summary:
- Fermi-level density of states (states/eV per cell) = 23.6
- formation energy from raw total energies (eV/atom) = -1.787
- VASP energy (eV per atom) = -8.424
- space-group type = R3m

a = 3.9894 Å, b = 3.9894 Å, c = 20.0056 Å
α = 90.00°, β = 90.00°, γ = 120.00°
Last column: nearest neighbours and their distance in Å.
Element x y z (fractional)
Dy 0.0000 0.0000 0.0000  3 S 2.76, 3 Se 2.89
Dy 0.3333 0.6667 0.6667  3 S 2.76, 3 Se 2.89
Dy 0.6667 0.3333 0.3333  3 S 2.76, 3 Se 2.89
Pu 0.0000 0.0000 0.5115  3 S 2.79, 3 Se 2.94
Pu 0.3333 0.6667 0.1781  3 S 2.79, 3 Se 2.94
Pu 0.6667 0.3333 0.8448  3 S 2.79, 3 Se 2.94
Se 0.0000 0.0000 0.7539  3 Dy 2.89, 3 Pu 2.94
Se 0.3333 0.6667 0.4205  3 Dy 2.89, 3 Pu 2.94
Se 0.6667 0.3333 0.0872  3 Dy 2.89, 3 Pu 2.94
S 0.0000 0.0000 0.2571  3 Dy 2.76, 3 Pu 2.79
S 0.3333 0.6667 0.9238  3 Dy 2.76, 3 Pu 2.79
S 0.6667 0.3333 0.5905  3 Dy 2.76, 3 Pu 2.79

---

No. 12
VASP calculation (PBE) on an optimized crystal structure of ZnReAs2.

Summary:
- Fermi-level density of states (states/eV per cell) = 2.3
- energy relative to the elements (eV/atom) = 0.3095
- VASP energy (eV per atom) = -5.446
- space-group type = Pmm2

a = 3.8176 Å, b = 3.8676 Å, c = 5.6296 Å
α = 90.00°, β = 90.00°, γ = 90.00°
Last column: nearest neighbours and their distance in Å.
Element x y z (fractional)
Zn 0.0000 0.0000 0.0000  4 As 2.52, 4 Re 2.72
Re 0.5000 0.5000 0.0061  4 As 2.52, 4 Zn 2.72
As 0.0000 0.5000 0.7135  2 Zn 2.52, 2 Re 2.52
As 0.5000 0.0000 0.2927  2 Re 2.52, 2 Zn 2.52